No. 1
Be2Al: optimized geometry, PBE.

Geometry as POSCAR:
```
Be2Al
1.0
1.3262 -6.1538 0.0000
1.3262 6.1538 0.0000
0.0000 0.0000 4.1222
Be Al
4 2
direct
0.0600 0.9400 0.7500
0.2828 0.7172 0.2500
0.7172 0.2828 0.7500
0.9400 0.0600 0.2500
0.3911 0.6089 0.7500
0.6089 0.3911 0.2500
```

Output
- Distance to the lowest polymorph of the same formula: 0.213 eV/atom
- Formation enthalpy at 0 K: 0.27 eV per atom

---

No. 2
BeAl: optimized geometry, PBE.

Geometry as POSCAR:
```
BeAl
1.0
-1.4147 1.9246 7.5300
1.4147 -1.9246 7.5300
1.4147 1.9246 -7.5300
Be Al
3 3
direct
0.0000 0.0000 0.0000
0.2644 0.2644 0.0000
0.7356 0.7356 0.0000
0.1326 0.6326 0.5000
0.5000 0.5000 0.0000
0.8674 0.3674 0.5000
```

Output
- Formation enthalpy at 0 K: 0.30 eV per atom

---

No. 3
Be2Al: optimized geometry, PBE.

Geometry as POSCAR:
```
Be2Al
1.0
4.3595 -1.2900 0.0000
4.3595 1.2900 0.0000
-0.2983 0.0000 6.0060
Be Al
4 2
direct
0.0000 0.0000 0.0000
0.1018 0.1018 0.6775
0.3412 0.3412 0.1859
0.7200 0.7200 0.9266
0.3708 0.3708 0.6260
0.6188 0.6188 0.3290
```

Output
- Distance to the lowest polymorph of the same formula: 0.171 eV/atom
- Formation enthalpy at 0 K: 0.23 eV per atom

---

No. 4
BeAl5: optimized geometry, PBE.

Geometry as POSCAR:
```
BeAl5
1.0
4.6623 -1.3855 0.0000
4.6623 1.3855 0.0000
-2.9365 0.0000 7.0648
Be Al
1 5
direct
0.0000 0.0000 0.0000
0.0000 0.0000 0.5000
0.3339 0.3339 0.6871
0.3466 0.3466 0.1536
0.6534 0.6534 0.8464
0.6661 0.6661 0.3129
```

Output
- Distance to the lowest polymorph of the same formula: 0.032 eV/atom
- Formation enthalpy at 0 K: 0.10 eV per atom

---

No. 5
Be3Al5: optimized geometry, PBE.

Geometry as POSCAR:
```
Be3Al5
1.0
6.9977 0.0000 0.0000
-3.4989 6.0602 0.0000
0.0000 0.0000 5.1084
Be Al
6 10
direct
0.0000 0.3989 0.2500
0.0000 0.6011 0.7500
0.3989 0.0000 0.2500
0.3989 0.3989 0.7500
0.6011 0.0000 0.7500
0.6011 0.6011 0.2500
0.0000 0.2406 0.7500
0.0000 0.7594 0.2500
0.2406 0.0000 0.7500
0.2406 0.2406 0.2500
0.3333 0.6667 0.0000
0.3333 0.6667 0.5000
0.6667 0.3333 0.0000
0.6667 0.3333 0.5000
0.7594 0.0000 0.2500
0.7594 0.7594 0.7500
```

Output
- Distance to the lowest polymorph of the same formula: 0.017 eV/atom
- Formation enthalpy at 0 K: 0.21 eV per atom

---

No. 6
BeAl: optimized geometry, PBE.

Geometry as POSCAR:
```
BeAl
1.0
1.3730 0.7927 7.8958
-1.3730 0.7927 7.8958
0.0000 -1.5854 7.8958
Be Al
2 2
direct
0.1321 0.1321 0.1321
0.8679 0.8679 0.8679
0.3825 0.3825 0.3825
0.6175 0.6175 0.6175
```

Output
- Formation enthalpy at 0 K: 0.25 eV per atom